# 1
First-principles (GGA-PBEsol) data for a relaxed structure of Mg2CdPt2, as listed in Alexandria via LeMat-Bulk.

Cell and atoms, written as extended XYZ:
```
5
Lattice="-1.895 1.895 6.743 1.895 -1.895 6.743 1.895 1.895 -6.743" Properties=species:S:1:pos:R:3 pbc="T T T"
Mg 0.000 0.000 1.528
Mg 0.000 0.000 11.958
Cd 0.000 0.000 6.743
Pt 1.895 0.000 3.372
Pt 0.000 1.895 3.372
```

# 2
First-principles (GGA-PBEsol) data for a relaxed structure of Mg2CdPt2, as listed in Alexandria via LeMat-Bulk.

Cell and atoms, written as extended XYZ:
```
10
Lattice="7.604 0.000 0.000 0.000 7.604 0.000 0.000 0.000 2.949" Properties=species:S:1:pos:R:3 pbc="T T T"
Mg 1.154 2.648 0.000
Mg 2.648 6.450 0.000
Mg 4.956 1.154 0.000
Mg 6.450 4.956 0.000
Cd 0.000 0.000 1.474
Cd 3.802 3.802 1.474
Pt 1.096 4.898 1.474
Pt 2.706 1.096 1.474
Pt 4.898 6.508 1.474
Pt 6.508 2.706 1.474
```

# 3
First-principles (GGA-PBEsol) data for a relaxed structure of MgCdPt2, as listed in Alexandria via LeMat-Bulk.

Cell and atoms, written as extended XYZ:
```
4
Lattice="2.936 0.000 0.000 0.000 3.726 0.000 0.000 0.000 5.883" Properties=species:S:1:pos:R:3 pbc="T T T"
Mg 0.000 0.000 0.000
Cd 0.000 0.000 2.942
Pt 1.468 1.863 1.418
Pt 1.468 1.863 4.465
```

# 4
First-principles (GGA-PBEsol) data for a relaxed structure of MgCdPt2, as listed in Alexandria via LeMat-Bulk.

Cell and atoms, written as extended XYZ:
```
4
Lattice="2.939 0.000 0.000 0.000 4.631 0.000 0.000 0.000 4.768" Properties=species:S:1:pos:R:3 pbc="T T T"
Mg 0.000 0.000 0.000
Cd 0.000 2.316 1.910
Pt 1.469 0.000 2.440
Pt 1.469 2.316 4.293
```

# 5
First-principles (GGA-PBEsol) data for a relaxed structure of MgCdPt2, as listed in Alexandria via LeMat-Bulk.

Cell and atoms, written as extended XYZ:
```
4
Lattice="2.858 0.000 0.000 0.000 4.100 0.000 0.000 0.000 5.587" Properties=species:S:1:pos:R:3 pbc="T T T"
Mg 0.000 0.000 0.000
Cd 1.429 2.050 3.925
Pt 0.000 0.000 2.692
Pt 1.429 2.050 1.115
```

# 6
First-principles (GGA-PBEsol) data for a relaxed structure of MgCdPt, as listed in Alexandria via LeMat-Bulk.

Cell and atoms, written as extended XYZ:
```
3
Lattice="-1.473 1.944 4.460 1.473 -1.944 4.460 1.473 1.944 -4.460" Properties=species:S:1:pos:R:3 pbc="T T T"
Mg 0.000 0.000 0.000
Cd 0.000 0.000 2.823
Pt 0.000 0.000 5.745
```

# 7
First-principles (GGA-PBEsol) data for a relaxed structure of MgCdRe2, as listed in Alexandria via LeMat-Bulk.

Cell and atoms, written as extended XYZ:
```
4
Lattice="0.000 3.171 3.171 3.171 0.000 3.171 3.171 3.171 0.000" Properties=species:S:1:pos:R:3 pbc="T T T"
Mg 0.000 0.000 0.000
Cd 3.171 3.171 3.171
Re 1.586 1.586 1.586
Re 4.757 4.757 4.757
```

# 8
First-principles (GGA-PBEsol) data for a relaxed structure of MgCd2Re, as listed in Alexandria via LeMat-Bulk.

Cell and atoms, written as extended XYZ:
```
4
Lattice="1.646 -2.277 0.000 1.646 2.277 0.000 0.000 0.000 9.546" Properties=species:S:1:pos:R:3 pbc="T T T"
Mg 0.000 0.000 0.000
Cd 0.000 0.000 5.075
Cd 1.646 0.000 2.492
Re 1.646 0.000 7.391
```

The records above give, respectively, uncorrected energy values of -3.932; -4.305; -4.781; -4.735; -4.634; -3.770; -6.325; -4.027 eV per atom.
The records above give, respectively, DOS at the Fermi energy values of 2.4; 2.5; 1.0; 1.1; 1.3; 0.9; 5.2; 2.2 states/eV per cell.
The records above give, respectively, total magnetization values of 0.000; 0.000; 0.000; 0.000; 0.000; 0.000; 0.001; 0.000 μB per atom.